{
  "formula": "Pm3Sn3Ru2",
  "functional": "PBE-GGA",
  "state": "optimized geometry",
  "formation_enthalpy_0k_mev_per_atom": -560.5,
  "final_energy_ev_per_cell": -98.6,
  "magmom_total_mub_per_atom": 0.0000,
  "volume_a3_per_atom": 24.45,
  "lattice": [[4.555, 0.000, 0.000], [-2.278, 5.555, 0.000], [0.000, 0.000, 15.462]],
  "species": ["Pm", "Pm", "Pm", "Pm", "Pm", "Pm", "Sn", "Sn", "Sn", "Sn", "Sn", "Sn", "Ru", "Ru", "Ru", "Ru"],
  "fractional_positions": [[0.934, 0.867, 0.389], [0.066, 0.133, 0.889], [0.934, 0.867, 0.111], [0.066, 0.133, 0.611], [0.657, 0.314, 0.250], [0.343, 0.686, 0.750], [0.643, 0.286, 0.467], [0.357, 0.714, 0.967], [0.643, 0.286, 0.033], [0.357, 0.714, 0.533], [0.363, 0.726, 0.250], [0.637, 0.274, 0.750], [0.793, 0.587, 0.888], [0.207, 0.413, 0.388], [0.793, 0.587, 0.612], [0.207, 0.413, 0.112]]
}